[1]
Material: MnAlNi3
Method: DFT, PBE-GGA
State: relaxed

abc: 4.194 4.194 4.194
angles: 90.00 90.00 90.00
Each line ends with the local moment (μB).
Fractional coordinates of all 5 atoms:
Ni 0.000 0.500 0.000  -0.01
Ni 0.000 0.000 0.500  -0.09
Ni 0.500 0.000 0.000  0.06
Mn 0.500 0.500 0.500  0.14
Al 0.000 0.000 0.000  0.01

Excess energy over the best structure of this formula in the dataset: 234.7 meV/atom
DFT formation energy: 1.133 eV/atom
Symmetry: Pm-3m
Raw total energy: -4.92 eV/atom
DOS(E_F): 13.30 states/eV/f.u.

[2]
Material: Mg2CdFeMo
Method: DFT, PBE-GGA
State: relaxed

abc: 5.095 5.231 5.095
angles: 90.00 90.00 90.00
Each line ends with the local moment (μB).
Fractional coordinates of all 5 atoms:
Mg 0.000 0.000 0.500  -0.01
Mg 0.500 0.000 0.000  0.01
Mo 0.000 0.000 0.000  1.63
Fe 0.500 0.500 0.500  3.24
Cd 0.000 0.500 0.000  0.02

DFT formation energy: 1.562 eV/atom
Symmetry: P4/mmm
Raw total energy: -3.12 eV/atom
DOS(E_F): 8.27 states/eV/f.u.

[3]
Material: Co2MoHRh
Method: DFT, PBE-GGA
State: relaxed

abc: 3.751 3.751 3.734
angles: 90.00 90.00 90.00
Each line ends with the local moment (μB).
Fractional coordinates of all 5 atoms:
Co 0.000 0.500 0.000  0.12
Co 0.500 0.000 0.000  0.12
Mo 0.500 0.500 0.500  -0.02
Rh 0.000 0.000 0.500  0.00
H 0.000 0.000 0.000  0.00

Excess energy over the best structure of this formula in the dataset: 0.0 meV/atom
Symmetry: P4/mmm
Raw total energy: -7.13 eV/atom
DOS(E_F): 4.46 states/eV/f.u.

[4]
Material: BaLaSi2H
Method: DFT, PBE-GGA
State: relaxed

abc: 4.851 4.679 4.851
angles: 90.00 90.00 90.00
Fractional coordinates of all 5 atoms:
H 0.000 0.000 0.000
Si 0.000 0.000 0.500
Si 0.500 0.000 0.000
Ba 0.000 0.500 0.000
La 0.500 0.500 0.500

Symmetry: P4/mmm
Raw total energy: -4.17 eV/atom
DOS(E_F): 3.98 states/eV/f.u.

[5]
Material: Ac16Nd6Sm7
Method: DFT, PBE-GGA
State: relaxed

abc: 12.024 12.024 12.024
angles: 60.00 60.00 60.00
Fractional coordinates of all 29 atoms:
Ac 0.875 0.875 0.375
Ac 0.875 0.875 0.875
Ac 0.875 0.375 0.875
Ac 0.375 0.875 0.875
Ac 0.125 0.125 0.125
Ac 0.125 0.125 0.625
Ac 0.125 0.625 0.125
Ac 0.625 0.125 0.125
Ac 0.647 0.647 0.059
Ac 0.647 0.647 0.647
Ac 0.647 0.059 0.647
Ac 0.059 0.647 0.647
Ac 0.353 0.353 0.353
Ac 0.353 0.353 0.941
Ac 0.353 0.941 0.353
Ac 0.941 0.353 0.353
Nd 0.259 0.741 0.259
Nd 0.741 0.259 0.741
Nd 0.741 0.259 0.259
Nd 0.259 0.741 0.741
Nd 0.741 0.741 0.259
Nd 0.259 0.259 0.741
Sm 0.000 0.000 0.000
Sm 0.500 0.000 0.500
Sm 0.000 0.500 0.000
Sm 0.000 0.500 0.500
Sm 0.500 0.000 0.000
Sm 0.000 0.000 0.500
Sm 0.500 0.500 0.000

DFT formation energy: 0.194 eV/atom
Symmetry: Fm-3m
Raw total energy: -4.20 eV/atom
DOS(E_F): 39.56 states/eV/f.u.

[6]
Material: HfNi3P
Method: DFT, PBE-GGA
State: relaxed

abc: 4.162 4.162 4.162
angles: 90.00 90.00 90.00
Fractional coordinates of all 5 atoms:
Ni 0.000 0.500 0.000
Ni 0.000 0.000 0.500
Ni 0.500 0.000 0.000
Hf 0.500 0.500 0.500
P 0.000 0.000 0.000

Excess energy over the best structure of this formula in the dataset: 0.0 meV/atom
DFT formation energy: -0.231 eV/atom
Symmetry: Pm-3m
Raw total energy: -6.77 eV/atom
DOS(E_F): 2.71 states/eV/f.u.